The following is a DFT calculation (PBE) of LiOsRh after structural relaxation.

- M_tot (Bohr magnetons per cell) = 0.0
- DFT formation energy (meV/atom) = 138.2
- calculated total energy (eV for the cell shown) = -20.1
- ΔE to the lowest computed polymorph (meV per atom) = 148

Cell: 2.6911 2.6911 6.7757 Å, 90.00 90.00 120.00°
Space group P3m1 (No. 156)
Symmetry-distinct sites (fractional):
Li: 0.0000 0.0000 0.0000 [1 per cell]
Os: 0.3333 0.6667 0.3433 [1 per cell]
Rh: 0.6667 0.3333 0.6637 [1 per cell]

The following is a DFT calculation (PBE) of MgTaTl2 after structural relaxation.

- M_tot (Bohr magnetons per cell) = 0.0
- DFT formation energy (meV/atom) = 449.2
- calculated total energy (eV for the cell shown) = -16.4

Cell: 5.293 5.293 3.124 Å, 90.00 90.00 90.00°
Space group P4/mmm (No. 123)
Symmetry-distinct sites (fractional):
Mg: 0.000 0.000 0.000 [1 per cell]
Ta: 0.500 0.500 0.000 [1 per cell]
Tl: 0.000 0.500 0.500 [2 per cell]

The following is a DFT calculation (PBE) of CrP2 after structural relaxation.

- M_tot (Bohr magnetons per cell) = 0.0
- DFT formation energy (meV/atom) = -164.1
- calculated total energy (eV for the cell shown) = -83.7

Cell: 8.168 2.968 7.469 Å, 90.00 91.24 90.00°
Space group C2/m (No. 12)
Symmetry-distinct sites (fractional):
Cr: 0.072 0.000 0.344 [4 per cell]
P: 0.079 0.500 0.114 [4 per cell]
P: 0.144 0.500 0.596 [4 per cell]

The following is a DFT calculation (PBE) of Ba2GaW after structural relaxation.

- M_tot (Bohr magnetons per cell) = 0.0
- DFT formation energy (meV/atom) = 1379.8
- calculated total energy (eV for the cell shown) = -57.2

Cell: 4.485 4.485 23.004 Å, 90.00 90.00 90.00°
Space group I-42d (No. 122)
Symmetry-distinct sites (fractional):
Ba: 0.246 0.250 0.125 [8 per cell]
Ga: 0.000 0.000 0.500 [4 per cell]
W: 0.000 0.000 0.000 [4 per cell]

Which value of DFT formation energy does entry 3 give? -164.1 meV/atom